{"formula": "FeGeO2F", "functional": "GGA+U", "state": "relaxed", "cell": [[3.962, 0.000, 0.000], [0.000, 3.962, 0.000], [0.000, 0.000, 3.890]], "species": ["O", "O", "Ge", "F", "Fe"], "frac_coords": [[0.500, 0.000, 0.000], [0.000, 0.500, 0.000], [0.500, 0.500, 0.500], [0.000, 0.000, 0.500], [0.000, 0.000, 0.000]], "magmom_total_mub_per_cell": 5.0, "e_tot_ev_per_atom": -5.5864}